DFT (PBE) results for LiLa2Pt2 after structural relaxation.

Computed properties:
* total magnetic moment: 0.0 μB per cell
* distance to the lowest polymorph of the same formula: 152 meV/atom

a = 5.6719 Å, b = 5.6719 Å, c = 8.1440 Å
α = 90.00°, β = 90.00°, γ = 90.00°
With the nearest neighbours (Å) after each atom.
Space group I4/mmm (No. 139)
One atom of each set of equivalent atoms:
1 Li 0.0000 0.0000 0.0000 (multiplicity 2)  2 Pt 2.71
2 La 0.0000 0.5000 0.2500 (multiplicity 4)  4 Pt 2.92
3 Pt 0.0000 0.0000 0.3332 (multiplicity 4)  1 Li 2.71, 1 Pt 2.72, 4 La 2.92

=====

DFT (PBE) results for AsP2Cl after structural relaxation.

Computed properties:
* total magnetic moment: 0.0 μB per cell
* distance to the lowest polymorph of the same formula: 558 meV/atom

a = 4.6452 Å, b = 14.5047 Å, c = 2.7127 Å
α = 90.00°, β = 90.00°, γ = 90.00°
With the nearest neighbours (Å) after each atom.
Space group Cmmm (No. 65)
One atom of each set of equivalent atoms:
1 As 0.0000 0.0000 0.0000 (multiplicity 2)  2 Cl 2.32
2 P 0.2500 0.2500 0.5000 (multiplicity 4)  2 P 2.32
3 Cl 0.0000 0.5000 0.0000 (multiplicity 2)  2 As 2.32